The following is a DFT calculation (PBE-GGA) of an optimized crystal structure of SrTi2V.

Geometry as CIF:
```
data_SrTi2V
_chemical_formula_sum 'Sr4 Ti8 V4'
_cell_length_a 6.955
_cell_length_b 6.955
_cell_length_c 6.955
_cell_angle_alpha 90.00
_cell_angle_beta 90.00
_cell_angle_gamma 90.00
_space_group_name_H-M_alt 'F m -3 m'
_space_group_IT_number 225
_space_group_name_Hall '-F 4 2 3'
loop_
_atom_site_label
_atom_site_fract_x
_atom_site_fract_y
_atom_site_fract_z
_atom_site_occupancy
Sr1 0.000 0.000 0.000 1
Ti1 0.250 0.250 0.250 1
V1 0.000 0.000 0.500 1
```

## Properties
As for the formation energy: 0.8537 eV per atom.


The following is a DFT calculation (PBE-GGA) of an optimized crystal structure of BeReTe.

Geometry as CIF:
```
data_BeReTe
_chemical_formula_sum 'Be4 Re4 Te4'
_cell_length_a 6.036
_cell_length_b 6.036
_cell_length_c 6.036
_cell_angle_alpha 90.00
_cell_angle_beta 90.00
_cell_angle_gamma 90.00
_space_group_name_H-M_alt 'F -4 3 m'
_space_group_IT_number 216
_space_group_name_Hall 'F -4 2 3'
loop_
_atom_site_label
_atom_site_fract_x
_atom_site_fract_y
_atom_site_fract_z
_atom_site_occupancy
Be1 0.000 0.000 0.000 1
Re1 0.250 0.250 0.750 1
Te1 0.000 0.000 0.500 1
```

## Properties
The calculation puts the uncorrected formation energy at 0.793 eV/atom.


The following is a DFT calculation (PBE-GGA) of an optimized crystal structure of La2Ni5Ge3.

Geometry as CIF:
```
data_La2Ni5Ge3
_chemical_formula_sum 'La2 Ni5 Ge3'
_cell_length_a 4.032
_cell_length_b 4.032
_cell_length_c 10.572
_cell_angle_alpha 90.00
_cell_angle_beta 90.00
_cell_angle_gamma 90.00
_space_group_name_H-M_alt 'P -4 m 2'
_space_group_IT_number 115
_space_group_name_Hall 'P -4 -2'
loop_
_atom_site_label
_atom_site_fract_x
_atom_site_fract_y
_atom_site_fract_z
_atom_site_occupancy
La1 0.000 0.500 0.214 1
Ni1 0.000 0.000 0.000 1
Ni2 0.000 0.000 0.500 1
Ni3 0.000 0.500 0.867 1
Ni4 0.500 0.500 0.000 1
Ge1 0.000 0.500 0.646 1
Ge2 0.500 0.500 0.500 1
```

## Properties
As for the formation energy: -0.3820 eV per atom.


The following is a DFT calculation (PBE-GGA) of an optimized crystal structure of Cs4K3.

Geometry as CIF:
```
data_Cs4K3
_chemical_formula_sum 'Cs8 K6'
_cell_length_a 13.985
_cell_length_b 8.126
_cell_length_c 12.529
_cell_angle_alpha 90.00
_cell_angle_beta 112.33
_cell_angle_gamma 90.00
_space_group_name_H-M_alt 'C 1 2/m 1'
_space_group_IT_number 12
_space_group_name_Hall '-C 2y'
loop_
_atom_site_label
_atom_site_fract_x
_atom_site_fract_y
_atom_site_fract_z
_atom_site_occupancy
Cs1 0.069 0.000 0.208 1
Cs2 0.218 0.000 0.651 1
K1 0.000 0.500 0.500 1
K2 0.142 0.500 0.924 1
```

## Properties
As for the formation energy: 0.0097 eV per atom.


The following is a DFT calculation (PBE-GGA) of an optimized crystal structure of PrAg9Sn2.

Geometry as CIF:
```
data_PrAg9Sn2
_chemical_formula_sum 'Pr3 Ag27 Sn6'
_cell_length_a 5.6603
_cell_length_b 5.6603
_cell_length_c 27.4316
_cell_angle_alpha 90.00
_cell_angle_beta 90.00
_cell_angle_gamma 120.00
_space_group_name_H-M_alt 'R -3 m'
_space_group_IT_number 166
_space_group_name_Hall '-R 3 2"'
loop_
_atom_site_label
_atom_site_fract_x
_atom_site_fract_y
_atom_site_fract_z
_atom_site_occupancy
Pr1 0.0000 0.0000 0.0000 1
Ag1 0.0000 0.0000 0.3341 1
Ag2 0.0000 0.0000 0.5000 1
Ag3 0.0043 0.5022 0.9152 1
Sn1 0.0000 0.0000 0.1446 1
```

## Properties
As for the formation energy: -0.0518 eV per atom.


The following is a DFT calculation (PBE-GGA) of an optimized crystal structure of MgTcRu2.

Geometry as CIF:
```
data_MgTcRu2
_chemical_formula_sum 'Mg2 Tc2 Ru4'
_cell_length_a 5.464
_cell_length_b 8.549
_cell_length_c 2.728
_cell_angle_alpha 90.00
_cell_angle_beta 112.50
_cell_angle_gamma 90.00
_space_group_name_H-M_alt 'C 1 2/m 1'
_space_group_IT_number 12
_space_group_name_Hall '-C 2y'
loop_
_atom_site_label
_atom_site_fract_x
_atom_site_fract_y
_atom_site_fract_z
_atom_site_occupancy
Mg1 0.000 0.000 0.000 1
Tc1 0.000 0.500 0.000 1
Ru1 0.250 0.250 0.500 1
```

## Properties
As for the formation energy: 0.2520 eV per atom.


The following is a DFT calculation (PBE-GGA) of an optimized crystal structure of LiTeH.

Geometry as CIF:
```
data_LiTeH
_chemical_formula_sum 'Li2 Te2 H2'
_cell_length_a 5.057
_cell_length_b 5.059
_cell_length_c 5.924
_cell_angle_alpha 109.01
_cell_angle_beta 108.97
_cell_angle_gamma 99.17
_space_group_name_H-M_alt 'P 1'
_space_group_IT_number 1
_space_group_name_Hall 'P 1'
loop_
_atom_site_label
_atom_site_fract_x
_atom_site_fract_y
_atom_site_fract_z
_atom_site_occupancy
Li1 0.000 0.000 0.000 1
Li2 0.405 0.595 0.001 1
Te1 0.625 0.221 0.227 1
Te2 0.780 0.375 0.774 1
H1 0.138 0.729 0.460 1
H2 0.272 0.863 0.536 1
```

## Properties
For the calculated total energy, the calculation gives -3.2694 eV/atom.


The following is a DFT calculation (PBE-GGA) of an optimized crystal structure of DyLuCd4.

Geometry as CIF:
```
data_DyLuCd4
_chemical_formula_sum 'Dy4 Lu4 Cd16'
_cell_length_a 8.310
_cell_length_b 8.310
_cell_length_c 8.310
_cell_angle_alpha 90.00
_cell_angle_beta 90.00
_cell_angle_gamma 90.00
_space_group_name_H-M_alt 'F -4 3 m'
_space_group_IT_number 216
_space_group_name_Hall 'F -4 2 3'
loop_
_atom_site_label
_atom_site_fract_x
_atom_site_fract_y
_atom_site_fract_z
_atom_site_occupancy
Dy1 0.000 0.000 0.000 1
Lu1 0.250 0.250 0.250 1
Cd1 0.125 0.125 0.625 1
```

## Properties
As for the formation energy: -0.2200 eV per atom.